[1]
Here is an optimized crystal structure of HgHF2 from Alexandria via LeMat-Bulk. Energies are from PBE-GGA.

Properties
**Raw total energy**: -42.65 eV per cell
**ρ**: 9.10 Mg/m³
**Energy above the lowest structure with this stoichiometry**: 499 meV per atom
**Magnetic moment**: 0.00 μB/f.u.

Cell: 4.948 4.948 7.144 Å, 90.00 90.00 90.00°
Space group I-42d (No. 122)
One atom of each set of equivalent atoms:
1 Hg 0.000 0.000 0.000 x4
2 H 0.000 0.000 0.500 x4
3 F 0.065 0.250 0.625 x8

[2]
Here is an optimized crystal structure of Tb3YCo from Alexandria via LeMat-Bulk. Energies are from PBE-GGA.

Properties
**Raw total energy**: -110.09 eV per cell
**ρ**: 7.61 Mg/m³
**Energy above the lowest structure with this stoichiometry**: 89 meV per atom
**Magnetic moment**: 0.00 μB/f.u.

Cell: 7.781 7.354 9.942 Å, 90.00 106.61 90.00°
Space group P2_1/c (No. 14)
One atom of each set of equivalent atoms:
1 Tb 0.079 0.128 0.391 x4
2 Tb 0.211 0.504 0.616 x4
3 Tb 0.413 0.698 0.968 x4
4 Y 0.314 0.055 0.749 x4
5 Co 0.048 0.743 0.391 x4

[3]
Here is an optimized crystal structure of Ge6Se from Alexandria via LeMat-Bulk. Energies are from PBE-GGA.

Properties
**Raw total energy**: -57.62 eV per cell
**ρ**: 4.92 Mg/m³
**ΔE_f (raw)**: 0.340 eV/atom
**Magnetic moment**: 1.44 μB/f.u.

Cell: 7.030 7.030 7.030 Å, 90.00 90.00 90.00°
Space group Im-3m (No. 229)
One atom of each set of equivalent atoms:
1 Ge 0.000 0.250 0.500 x12
2 Se 0.000 0.000 0.000 x2